(1)
VASP calculation (PBEsol) on a relaxed CoPHO5 crystal.

Properties
SG: P-1, No. 2
Electronic total energy in Ha/atom: -0.251

a b c (Å): 5.010 5.055 6.919
angles (deg): 108.05 106.37 102.87
Each line ends with the local moment (μB).
Atoms (fractional coordinates):
H (0.015, 0.636, 0.692)  0.00
H (0.985, 0.364, 0.308)  0.00
O (0.691, 0.267, 0.363)  0.02
O (0.343, 0.215, 0.590)  0.07
O (0.152, 0.337, 0.256)  0.10
O (0.693, 0.831, 0.069)  0.07
O (0.219, 0.810, 0.136)  0.04
O (0.309, 0.733, 0.637)  0.02
O (0.657, 0.785, 0.410)  0.07
O (0.848, 0.663, 0.744)  0.10
O (0.307, 0.169, 0.931)  0.07
O (0.781, 0.190, 0.864)  0.04
Co (0.000, 0.000, 0.000)  0.72
Co (0.500, 0.500, 0.500)  0.61
P (0.442, 0.079, 0.756)  0.00
P (0.558, 0.921, 0.244)  0.00

=====

(2)
VASP calculation (PBEsol) on a relaxed Ag2BPd crystal.

Properties
ΔE_f in meV/atom: 447.1
SG: I-42d, No. 122

a b c (Å): 4.682 5.462 5.462
angles (deg): 79.42 64.63 64.63
Atoms (fractional coordinates):
Ag (0.542, 0.083, 0.583)
Ag (0.375, 0.417, 0.083)
Ag (0.208, 0.917, 0.417)
Ag (0.875, 0.583, 0.917)
B (0.500, 0.000, 0.000)
B (0.250, 0.500, 0.500)
Pd (0.000, 0.000, 0.000)
Pd (0.750, 0.500, 0.500)

=====

Number 1: DOS at the Fermi energy 0.260 states/eV per atom, calculated volume 150 Å³/cell. Number 2: DOS at the Fermi energy 0.357 states/eV per atom, calculated volume 114 Å³/cell.